Record 1
The following is a DFT calculation (GGA-PBE) of a geometry-optimized Cu2Ag7 structure.

Unit cell a=7.4154 b=7.4154 c=7.0960 alpha=94.95 beta=94.95 gamma=22.64
Positions (direct):
Cu  0.2203  0.2203  0.3623
Cu  0.7797  0.7797  0.6377
Ag  0.0000  0.0000  0.0000
Ag  0.1247  0.1247  0.6894
Ag  0.3283  0.3283  0.9578
Ag  0.4428  0.4428  0.6519
Ag  0.5572  0.5572  0.3481
Ag  0.6717  0.6717  0.0422
Ag  0.8753  0.8753  0.3106

Computed properties:
For the formation enthalpy at 0 K, the calculation gives 0.051 eV per atom. The symmetry is C2/m.

Record 2
The following is a DFT calculation (GGA-PBE) of a geometry-optimized Cu11Ag29 structure.

Unit cell a=5.7312 b=9.8205 c=12.0763 alpha=106.28 beta=90.06 gamma=90.00
Positions (direct):
Cu  0.0000  0.0000  0.0000
Cu  0.0013  0.8043  0.4075
Cu  0.2584  0.7586  0.0072
Cu  0.5088  0.9035  0.1995
Cu  0.5208  0.3008  0.3945
Cu  0.7560  0.1505  0.2041
Cu  0.7584  0.5488  0.4023
Cu  0.7645  0.9511  0.6048
Cu  0.7654  0.8600  0.8041
Cu  0.9918  0.3000  0.3952
Cu  0.9967  0.0908  0.8008
Ag  0.0023  0.3997  0.2072
Ag  0.0045  0.6038  0.8002
Ag  0.0056  0.9064  0.1945
Ag  0.0120  0.5066  0.0054
Ag  0.2427  0.8585  0.8126
Ag  0.2445  0.9516  0.6027
Ag  0.2521  0.2402  0.9966
Ag  0.2544  0.5514  0.4029
Ag  0.2554  0.0497  0.3963
Ag  0.2549  0.3431  0.7994
Ag  0.2546  0.4431  0.5925
Ag  0.2577  0.1529  0.2047
Ag  0.2607  0.6660  0.2075
Ag  0.5034  0.6064  0.8042
Ag  0.5063  0.5047  0.0054
Ag  0.5090  0.1944  0.5949
Ag  0.5090  0.7094  0.6088
Ag  0.5103  0.9969  0.0086
Ag  0.5122  0.4000  0.2067
Ag  0.5192  0.8056  0.4095
Ag  0.5197  0.0901  0.7967
Ag  0.7539  0.4467  0.5889
Ag  0.7569  0.0522  0.3928
Ag  0.7586  0.3477  0.8018
Ag  0.7602  0.7560  0.0007
Ag  0.7623  0.2421  0.0029
Ag  0.7616  0.6596  0.2120
Ag  0.9950  0.7062  0.5993
Ag  0.9994  0.1949  0.5989

Computed properties:
For the formation enthalpy at 0 K, the calculation gives 0.072 eV per atom. The symmetry is P1.

Record 3
The following is a DFT calculation (GGA-PBE) of a geometry-optimized CuAg structure.

Unit cell a=9.6237 b=9.6237 c=5.6003 alpha=98.38 beta=98.38 gamma=16.74
Positions (direct):
Cu  0.0000  0.0000  0.0000
Cu  0.9998  0.9998  0.4656
Cu  0.4155  0.4155  0.1895
Cu  0.4205  0.4205  0.6943
Cu  0.5918  0.5918  0.2788
Ag  0.2005  0.2005  0.5792
Ag  0.2005  0.2005  0.0872
Ag  0.5899  0.5899  0.7778
Ag  0.8168  0.8168  0.8901
Ag  0.8180  0.8180  0.3933

Computed properties:
For the formation enthalpy at 0 K, the calculation gives 0.066 eV per atom. The symmetry is Cm.

Record 4
The following is a DFT calculation (GGA-PBE) of a geometry-optimized CuAg structure.

Unit cell a=6.6807 b=8.9079 c=16.8926 alpha=96.78 beta=90.32 gamma=106.69
Positions (direct):
Cu  0.0000  0.0000  0.0000
Cu  0.0127  0.7587  0.0624
Cu  0.0432  0.2571  0.0905
Cu  0.0726  0.0142  0.1514
Cu  0.1035  0.7656  0.2094
Cu  0.1230  0.2673  0.2429
Cu  0.1502  0.0184  0.3005
Cu  0.1620  0.7750  0.3612
Cu  0.1715  0.5060  0.0271
Cu  0.2513  0.5146  0.1750
Cu  0.3218  0.5242  0.3238
Cu  0.3409  0.2532  0.9910
Cu  0.3559  0.0116  0.0516
Cu  0.3816  0.7617  0.1082
Cu  0.4020  0.2639  0.1414
Cu  0.4322  0.0136  0.2001
Cu  0.4610  0.7720  0.2619
Cu  0.4888  0.2662  0.2876
Cu  0.5062  0.0292  0.3529
Cu  0.5343  0.5087  0.0733
Cu  0.6087  0.5183  0.2252
Cu  0.6558  0.7550  0.0115
Cu  0.6911  0.2626  0.0394
Cu  0.7152  0.0121  0.0995
Cu  0.7402  0.7654  0.1603
Cu  0.7637  0.2649  0.1910
Cu  0.7899  0.0195  0.2523
Cu  0.8172  0.7730  0.3091
Cu  0.8191  0.5115  0.9708
Cu  0.8537  0.2744  0.3419
Cu  0.8908  0.5111  0.1250
Cu  0.9688  0.5199  0.2755
Ag  0.0352  0.5048  0.8288
Ag  0.0558  0.2702  0.5519
Ag  0.0586  0.7627  0.7335
Ag  0.0625  0.0151  0.6397
Ag  0.0810  0.5287  0.4516
Ag  0.2331  0.0137  0.8686
Ag  0.2367  0.2617  0.7737
Ag  0.2512  0.5127  0.6789
Ag  0.2537  0.7521  0.9465
Ag  0.2560  0.2774  0.4070
Ag  0.2740  0.7696  0.5847
Ag  0.2748  0.0143  0.4860
Ag  0.4376  0.5045  0.9056
Ag  0.4505  0.2635  0.6231
Ag  0.4507  0.0162  0.7188
Ag  0.4544  0.7560  0.8029
Ag  0.4672  0.5219  0.5316
Ag  0.5066  0.7762  0.4331
Ag  0.6189  0.2619  0.8544
Ag  0.6290  0.9983  0.9354
Ag  0.6456  0.5082  0.7521
Ag  0.6600  0.2675  0.4769
Ag  0.6653  0.0176  0.5684
Ag  0.6684  0.7651  0.6572
Ag  0.6862  0.5215  0.3870
Ag  0.8427  0.2637  0.6998
Ag  0.8454  0.0102  0.7884
Ag  0.8494  0.7543  0.8795
Ag  0.8633  0.5189  0.6024
Ag  0.8783  0.0288  0.4179
Ag  0.8914  0.7744  0.5059
Ag  0.9956  0.2547  0.9227

Computed properties:
For the formation enthalpy at 0 K, the calculation gives 0.043 eV per atom. The symmetry is P1.

Record 5
The following is a DFT calculation (GGA-PBE) of a geometry-optimized CuAg structure.

Unit cell a=2.7875 b=3.7859 c=14.0340 alpha=90.00 beta=90.00 gamma=90.00
Positions (direct):
Cu  0.0000  0.0000  0.0000
Cu  0.0000  0.0000  0.1743
Cu  0.0000  0.0000  0.8019
Cu  0.5000  0.5000  0.0896
Cu  0.5000  0.5000  0.2633
Ag  0.0000  0.0000  0.3616
Ag  0.0000  0.0000  0.5895
Ag  0.5000  0.5000  0.4754
Ag  0.5000  0.5000  0.7027
Ag  0.5000  0.5000  0.9021

Computed properties:
For the formation enthalpy at 0 K, the calculation gives 0.084 eV per atom. The symmetry is Pmm2.

Record 6
The following is a DFT calculation (GGA-PBE) of a geometry-optimized Cu3Ag5 structure.

Unit cell a=2.8571 b=2.8571 c=15.2974 alpha=90.00 beta=90.00 gamma=90.00
Positions (direct):
Cu  0.0000  0.0000  0.0000
Cu  0.5000  0.5000  0.3793
Cu  0.5000  0.5000  0.6207
Ag  0.0000  0.0000  0.2599
Ag  0.0000  0.0000  0.5000
Ag  0.0000  0.0000  0.7402
Ag  0.5000  0.5000  0.1191
Ag  0.5000  0.5000  0.8809

Computed properties:
For the formation enthalpy at 0 K, the calculation gives 0.076 eV per atom. The symmetry is P4/mmm.